No. 1
First-principles (PBE) data for a relaxed Mn2Si crystal, as listed in Alexandria.

E_form (uncorrected): -216 meV per atom

a = 4.216 Å, b = 4.216 Å, c = 4.216 Å
α = 143.72°, β = 130.73°, γ = 62.71°
Element x y z (fractional)
Mn: 0.337 0.337 0.000
Mn: 0.663 0.663 0.000
Si: 0.000 0.000 0.000

No. 2
First-principles (PBE) data for a relaxed Ca3BeSn crystal, as listed in Alexandria.

ΔE_f: 0.114 eV/atom

a = 5.405 Å, b = 5.405 Å, c = 5.405 Å
α = 90.00°, β = 90.00°, γ = 90.00°
Element x y z (fractional)
Be: 0.000 0.000 0.000
Ca: 0.000 0.500 0.000
Ca: 0.000 0.000 0.500
Ca: 0.500 0.000 0.000
Sn: 0.500 0.500 0.500

No. 3
First-principles (PBE) data for a relaxed CsPrNb6Br18 crystal, as listed in Alexandria.

E_form (uncorrected): -1134 meV per atom

a = 10.014 Å, b = 10.014 Å, c = 18.618 Å
α = 90.00°, β = 90.00°, γ = 120.00°
Element x y z (fractional)
Cs: 0.667 0.333 0.250
Cs: 0.333 0.667 0.750
Pr: 0.333 0.667 0.250
Pr: 0.667 0.333 0.750
Nb: 0.150 0.186 0.435
Nb: 0.850 0.814 0.565
Nb: 0.035 0.850 0.435
Nb: 0.150 0.965 0.065
Nb: 0.965 0.150 0.565
Nb: 0.850 0.035 0.935
Nb: 0.814 0.965 0.435
Nb: 0.035 0.186 0.065
Nb: 0.186 0.035 0.565
Nb: 0.965 0.814 0.935
Nb: 0.814 0.850 0.065
Nb: 0.186 0.150 0.935
Br: 0.364 0.441 0.340
Br: 0.636 0.559 0.660
Br: 0.077 0.636 0.340
Br: 0.364 0.923 0.160
Br: 0.923 0.364 0.660
Br: 0.636 0.077 0.840
Br: 0.559 0.923 0.340
Br: 0.077 0.441 0.160
Br: 0.441 0.077 0.660
Br: 0.923 0.559 0.840
Br: 0.559 0.636 0.160
Br: 0.441 0.364 0.840
Br: 0.958 0.186 0.341
Br: 0.042 0.814 0.659
Br: 0.228 0.042 0.341
Br: 0.958 0.772 0.159
Br: 0.772 0.958 0.659
Br: 0.042 0.228 0.841
Br: 0.814 0.772 0.341
Br: 0.228 0.186 0.159
Br: 0.186 0.228 0.659
Br: 0.772 0.814 0.841
Br: 0.814 0.042 0.159
Br: 0.186 0.958 0.841
Br: 0.730 0.143 0.500
Br: 0.270 0.857 0.500
Br: 0.413 0.270 0.500
Br: 0.730 0.587 0.000
Br: 0.587 0.730 0.500
Br: 0.270 0.413 0.000
Br: 0.857 0.587 0.500
Br: 0.413 0.143 0.000
Br: 0.143 0.413 0.500
Br: 0.587 0.857 0.000
Br: 0.857 0.270 0.000
Br: 0.143 0.730 0.000